# 1
# Zr2Ta4B, optimized geometry, DFT GGA-PBE
data_Zr2Ta4B
_chemical_formula_sum 'Zr4 Ta8 B2'
_cell_length_a 4.2804
_cell_length_b 4.2804
_cell_length_c 15.3656
_cell_angle_alpha 90.00
_cell_angle_beta 90.00
_cell_angle_gamma 90.00
_symmetry_space_group_name_H-M 'I 4/m m m'
_symmetry_Int_Tables_number 139
_symmetry_space_group_name_Hall '-I 4 2'
loop_
_atom_site_label
_atom_site_type_symbol
_atom_site_fract_x
_atom_site_fract_y
_atom_site_fract_z
Zr1 Zr 0.0000 0.0000 0.1568
Ta1 Ta 0.0000 0.0000 0.3584
Ta2 Ta 0.0000 0.5000 0.0000
B1 B 0.0000 0.0000 0.5000
# Magnetization = 0.00 μB/f.u.
# Calculated formation energy = 0.309 eV/atom

# 2
# TbB11, optimized geometry, DFT GGA-PBE
data_TbB11
_chemical_formula_sum 'Tb4 B44'
_cell_length_a 6.9464
_cell_length_b 6.9464
_cell_length_c 8.7973
_cell_angle_alpha 90.00
_cell_angle_beta 90.00
_cell_angle_gamma 90.00
_symmetry_space_group_name_H-M 'I 41/a m d'
_symmetry_Int_Tables_number 141
loop_
_symmetry_equiv_pos_as_xyz
'x,y,z'
'-x,-y,-z'
'-y+1/4,x+3/4,z+1/4'
'y+1/4,-x+3/4,-z+1/4'
'-x+1/2,-y,z+1/2'
'x+1/2,y,-z+1/2'
'y+1/4,-x+1/4,z+3/4'
'-y+1/4,x+1/4,-z+3/4'
'x,-y,-z'
'-x,y,z'
'-y+1/4,-x+1/4,-z+3/4'
'y+1/4,x+1/4,z+3/4'
'-x+1/2,y,-z+1/2'
'x+1/2,-y,z+1/2'
'y+1/4,x+3/4,-z+1/4'
'-y+1/4,-x+3/4,z+1/4'
'x+1/2,y+1/2,z+1/2'
'-x+1/2,-y+1/2,-z+1/2'
'-y+3/4,x+1/4,z+3/4'
'y+3/4,-x+1/4,-z+3/4'
'-x,-y+1/2,z'
'x,y+1/2,-z'
'y+3/4,-x+3/4,z+1/4'
'-y+3/4,x+3/4,-z+1/4'
'x+1/2,-y+1/2,-z+1/2'
'-x+1/2,y+1/2,z+1/2'
'-y+3/4,-x+3/4,-z+1/4'
'y+3/4,x+3/4,z+1/4'
'-x,y+1/2,-z'
'x,-y+1/2,z'
'y+3/4,x+1/4,-z+3/4'
'-y+3/4,-x+1/4,z+3/4'
loop_
_atom_site_label
_atom_site_type_symbol
_atom_site_fract_x
_atom_site_fract_y
_atom_site_fract_z
Tb1 Tb 0.0000 0.2500 0.3750
B1 B 0.0000 0.0000 0.0000
B2 B 0.0000 0.2500 0.8750
B3 B 0.1406 0.0571 0.6767
# Magnetization = 0.00 μB/f.u.
# Calculated formation energy = 0.668 eV/atom

# 3
# Tb3B, optimized geometry, DFT GGA-PBE
data_Tb3B
_chemical_formula_sum 'Tb6 B2'
_cell_length_a 3.5877
_cell_length_b 10.0914
_cell_length_c 5.8117
_cell_angle_alpha 90.00
_cell_angle_beta 90.00
_cell_angle_gamma 90.00
_symmetry_space_group_name_H-M 'I m m 2'
_symmetry_Int_Tables_number 44
_symmetry_space_group_name_Hall 'I 2 -2'
loop_
_atom_site_label
_atom_site_type_symbol
_atom_site_fract_x
_atom_site_fract_y
_atom_site_fract_z
Tb1 Tb 0.0000 0.0000 0.0000
Tb2 Tb 0.0000 0.1754 0.4604
B1 B 0.0000 0.5000 0.8167
# Magnetization = 0.00 μB/f.u.
# Calculated formation energy = 0.112 eV/atom

# 4
# TbB4, optimized geometry, DFT GGA-PBE
data_TbB4
_chemical_formula_sum 'Tb1 B4'
_cell_length_a 4.7526
_cell_length_b 4.7526
_cell_length_c 4.7526
_cell_angle_alpha 90.00
_cell_angle_beta 90.00
_cell_angle_gamma 90.00
_symmetry_space_group_name_H-M 'P m -3 m'
_symmetry_Int_Tables_number 221
_symmetry_space_group_name_Hall '-P 4 2 3'
loop_
_atom_site_label
_atom_site_type_symbol
_atom_site_fract_x
_atom_site_fract_y
_atom_site_fract_z
Tb1 Tb 0.0000 0.0000 0.0000
B1 B 0.0000 0.0000 0.5000
B2 B 0.5000 0.5000 0.5000
# Magnetization = 0.42 μB/f.u.
# Calculated formation energy = 3.137 eV/atom

# 5
# TbB4, optimized geometry, DFT GGA-PBE
data_TbB4
_chemical_formula_sum 'Tb4 B16'
_cell_length_a 7.1209
_cell_length_b 7.1209
_cell_length_c 4.0300
_cell_angle_alpha 90.00
_cell_angle_beta 90.00
_cell_angle_gamma 90.00
_symmetry_space_group_name_H-M 'P 4/m b m'
_symmetry_Int_Tables_number 127
_symmetry_space_group_name_Hall '-P 4 2ab'
loop_
_atom_site_label
_atom_site_type_symbol
_atom_site_fract_x
_atom_site_fract_y
_atom_site_fract_z
Tb1 Tb 0.1821 0.3179 0.0000
B1 B 0.0000 0.0000 0.2036
B2 B 0.0389 0.8240 0.5000
B3 B 0.0871 0.5871 0.5000
# Magnetization = 0.00 μB/f.u.
# Calculated formation energy = -0.598 eV/atom

# 6
# TbB3, optimized geometry, DFT GGA-PBE
data_TbB3
_chemical_formula_sum 'Tb2 B6'
_cell_length_a 3.6330
_cell_length_b 3.6330
_cell_length_c 8.3405
_cell_angle_alpha 90.00
_cell_angle_beta 90.00
_cell_angle_gamma 90.00
_symmetry_space_group_name_H-M 'I 4/m m m'
_symmetry_Int_Tables_number 139
_symmetry_space_group_name_Hall '-I 4 2'
loop_
_atom_site_label
_atom_site_type_symbol
_atom_site_fract_x
_atom_site_fract_y
_atom_site_fract_z
Tb1 Tb 0.0000 0.0000 0.0000
B1 B 0.0000 0.0000 0.3117
B2 B 0.0000 0.0000 0.5000
# Magnetization = 0.00 μB/f.u.
# Calculated formation energy = 0.448 eV/atom

Q: magnetization of number 3 (Tb3B)?
A: 0.00 μB/f.u.

Q: Among the records above, which one has the lowest calculated formation energy?
A: number 5

Q: Which formula does entry 5 have?
A: TbB4